[1]
SmYCdCo after structural relaxation, computed with PBE-GGA.

a = 5.0984 Å, b = 5.0984 Å, c = 5.0984 Å
α = 60.00°, β = 60.00°, γ = 60.00°
Element x y z (fractional)
Sm: 0.0000 0.0000 0.0000
Y: 0.5000 0.5000 0.5000
Cd: 0.7500 0.7500 0.7500
Co: 0.2500 0.2500 0.2500

Properties
E above lowest polymorph (meV/atom): 101
Energy relative to the elements (meV per atom): -112



[2]
LaGeO2F after structural relaxation, computed with PBE-GGA.

a = 4.1765 Å, b = 4.1765 Å, c = 4.1541 Å
α = 90.00°, β = 90.00°, γ = 90.00°
Element x y z (fractional)
La: 0.0000 0.0000 0.0000
Ge: 0.5000 0.5000 0.5000
O: 0.0000 0.5000 0.5000
O: 0.5000 0.0000 0.5000
F: 0.5000 0.5000 0.0000

Properties
Raw formation energy (eV/atom): -1.99



[3]
Ho3Si4Os2 after structural relaxation, computed with PBE-GGA.

a = 5.6957 Å, b = 5.6957 Å, c = 7.9709 Å
α = 107.47°, β = 107.47°, γ = 43.25°
Element x y z (fractional)
Ho: 0.0000 0.0000 0.0000
Ho: 0.3835 0.3835 0.3008
Ho: 0.6165 0.6165 0.6992
Si: 0.0978 0.0978 0.4118
Si: 0.2783 0.2783 0.9214
Si: 0.7217 0.7217 0.0786
Si: 0.9022 0.9022 0.5882
Os: 0.3179 0.3179 0.6438
Os: 0.6821 0.6821 0.3562

Properties
Raw formation energy (eV/atom): -0.76



[4]
P2PbBr after structural relaxation, computed with PBE-GGA.

a = 6.2158 Å, b = 6.2158 Å, c = 5.3602 Å
α = 98.82°, β = 98.82°, γ = 31.82°
Element x y z (fractional)
P: 0.2357 0.2357 0.1230
P: 0.7643 0.7643 0.8770
Pb: 0.5000 0.5000 0.0000
Br: 0.0000 0.0000 0.5000

Properties
Raw formation energy (eV/atom): -0.05
E above lowest polymorph (meV/atom): 77



[5]
CuRu2W after structural relaxation, computed with PBE-GGA.

a = 4.7490 Å, b = 4.7490 Å, c = 4.6296 Å
α = 99.54°, β = 99.54°, γ = 33.51°
Element x y z (fractional)
Cu: 0.0000 0.0000 0.0000
Ru: 0.2465 0.2465 0.7504
Ru: 0.5073 0.5073 0.5057
W: 0.7523 0.7523 0.2551

Properties
E above lowest polymorph (meV/atom): 136
Energy relative to the elements (meV per atom): 210



[6]
Re2MoRh after structural relaxation, computed with PBE-GGA.

a = 4.8109 Å, b = 4.8109 Å, c = 4.8109 Å
α = 132.20°, β = 132.20°, γ = 69.91°
Element x y z (fractional)
Re: 0.2500 0.7500 0.5000
Re: 0.7500 0.2500 0.5000
Mo: 0.0000 0.0000 0.0000
Rh: 0.5000 0.5000 0.0000

Properties
E above lowest polymorph (meV/atom): 42
Energy relative to the elements (meV per atom): 4



[7]
CsMn2FeCl8 after structural relaxation, computed with PBE-GGA.

a = 11.0943 Å, b = 11.0943 Å, c = 11.0943 Å
α = 33.05°, β = 33.05°, γ = 33.05°
Element x y z (fractional)
Cs: 0.0000 0.0000 0.0000
Mn: 0.2361 0.2361 0.2361
Mn: 0.7639 0.7639 0.7639
Fe: 0.5000 0.5000 0.5000
Cl: 0.1578 0.4315 0.7586
Cl: 0.2414 0.5685 0.8422
Cl: 0.3084 0.3084 0.3084
Cl: 0.4315 0.7586 0.1578
Cl: 0.5685 0.8422 0.2414
Cl: 0.6916 0.6916 0.6916
Cl: 0.7586 0.1578 0.4315
Cl: 0.8422 0.2414 0.5685

Properties
Raw formation energy (eV/atom): -1.03



[8]
ZnSb2Br8 after structural relaxation, computed with PBE-GGA.

a = 9.3020 Å, b = 9.3020 Å, c = 8.1609 Å
α = 95.75°, β = 95.75°, γ = 48.74°
Element x y z (fractional)
Zn: 0.0000 0.0000 0.0000
Sb: 0.1570 0.1570 0.3482
Sb: 0.8430 0.8430 0.6518
Br: 0.0366 0.0366 0.7357
Br: 0.1024 0.6139 0.8667
Br: 0.3094 0.3094 0.3915
Br: 0.3861 0.8976 0.1333
Br: 0.6139 0.1024 0.8667
Br: 0.6906 0.6906 0.6085
Br: 0.8976 0.3861 0.1333
Br: 0.9634 0.9634 0.2643

Properties
Raw formation energy (eV/atom): -0.60
E above lowest polymorph (meV/atom): 0



[9]
TaAsOs2 after structural relaxation, computed with PBE-GGA.

a = 5.0207 Å, b = 5.0207 Å, c = 5.0207 Å
α = 135.22°, β = 135.22°, γ = 65.19°
Element x y z (fractional)
Ta: 0.0000 0.0000 0.0000
As: 0.2500 0.7500 0.5000
Os: 0.5000 0.5000 0.0000
Os: 0.7500 0.2500 0.5000

Properties
Energy relative to the elements (meV per atom): 224



[10]
CeGdHgIr after structural relaxation, computed with PBE-GGA.

a = 5.1290 Å, b = 5.1290 Å, c = 5.1290 Å
α = 60.00°, β = 60.00°, γ = 60.00°
Element x y z (fractional)
Ce: 0.0000 0.0000 0.0000
Gd: 0.5000 0.5000 0.5000
Hg: 0.2500 0.2500 0.2500
Ir: 0.7500 0.7500 0.7500

Properties
Energy relative to the elements (meV per atom): -488



[11]
Tb3PmSn3 after structural relaxation, computed with PBE-GGA.

a = 9.2506 Å, b = 9.2506 Å, c = 5.3968 Å
α = 90.00°, β = 90.00°, γ = 120.00°
Element x y z (fractional)
Tb: 0.0023 0.7626 0.2500
Tb: 0.2374 0.2397 0.2500
Tb: 0.2397 0.0023 0.7500
Tb: 0.7603 0.9977 0.2500
Tb: 0.7626 0.7603 0.7500
Tb: 0.9977 0.2374 0.7500
Pm: 0.3333 0.6667 0.2500
Pm: 0.6667 0.3333 0.7500
Sn: 0.0739 0.6229 0.7500
Sn: 0.3771 0.4510 0.7500
Sn: 0.4510 0.0739 0.2500
Sn: 0.5490 0.9261 0.7500
Sn: 0.6229 0.5490 0.2500
Sn: 0.9261 0.3771 0.2500

Properties
Energy relative to the elements (meV per atom): -546



[12]
In5GaHg2Pb after structural relaxation, computed with PBE-GGA.

a = 9.2426 Å, b = 9.2426 Å, c = 9.2426 Å
α = 126.37°, β = 126.37°, γ = 79.28°
Element x y z (fractional)
In: 0.0000 0.0000 0.0000
In: 0.0591 0.5591 0.8968
In: 0.1623 0.0591 0.5000
In: 0.3377 0.8377 0.8968
In: 0.4409 0.3377 0.5000
In: 0.5000 0.5000 0.0000
In: 0.5591 0.6623 0.5000
In: 0.6623 0.1623 0.1032
In: 0.8377 0.9409 0.5000
In: 0.9409 0.4409 0.1032
Ga: 0.2500 0.7500 0.5000
Ga: 0.7500 0.2500 0.5000
Hg: 0.1210 0.3790 0.5000
Hg: 0.3790 0.8790 0.2580
Hg: 0.6210 0.1210 0.7420
Hg: 0.8790 0.6210 0.5000
Pb: 0.2500 0.2500 0.0000
Pb: 0.7500 0.7500 0.0000

Properties
Energy relative to the elements (meV per atom): 73



| no. | D(E_F) (states/eV/atom) | electronic total energy (eV per cell) |
| --- | --- | --- |
| 1 | 0.68 | -19.7 |
| 2 | 0.73 | -31.3 |
| 3 | 0.48 | -64.8 |
| 4 | 0.31 | -16.4 |
| 5 | 0.89 | -34.8 |
| 6 | 0.83 | -43.1 |
| 7 | 1.03 | -54.8 |
| 8 | 0.00 | -29.5 |
| 9 | 0.80 | -38.1 |
| 10 | 1.64 | -31.1 |
| 11 | 0.95 | -69.0 |
| 12 | 0.27 | -40.8 |